Compound: TmSc2Al3Cu2Ni
Source: the Open Quantum Materials Database
Functional: GGA-PBE
Structure: optimized geometry

The structure belongs to space group Amm2 (No. 38); the cell edges are 3.815, 11.788 and 6.836 Å and the angles 90.00°, 90.00° and 90.00°. The distinct sites, in fractional coordinates, are Tm at (0.000, 0.000, 0.000), Sc at (0.000, 0.205, 0.618), Al at (0.500, 0.000, 0.650), Al at (0.500, 0.122, 0.297), Cu at (0.500, 0.170, 0.912) and Ni at (0.000, 0.000, 0.418).

The calculation puts the total moment at 0.000 μB per atom. Its raw total energy is -5.116 eV per atom. Its crystal system is orthorhombic.